# 1
LiCd14Ag: relaxed, GGA-PBE. Values from VASP.

Results
total energy: -1.135 eV/atom
calculated volume: 347.0 Å³ per cell
crystal system: tetragonal
symmetry: P4/mmm, No. 123
ΔE_f: -37 meV/atom

Geometry as Quantum ESPRESSO input:
```
&SYSTEM
  ibrav = 0, nat = 16, ntyp = 3
/
ATOMIC_SPECIES
Li 6.94 Li.upf
Cd 112.41 Cd.upf
Ag 107.87 Ag.upf
CELL_PARAMETERS angstrom
6.221 1.269 0.000
-1.270 6.220 0.000
0.000 0.000 8.609
ATOMIC_POSITIONS crystal
Li 0.125 0.875 0.500
Cd 0.876 0.626 0.743
Cd 0.125 0.375 0.000
Cd 0.876 0.124 0.743
Cd 0.125 0.875 0.000
Cd 0.374 0.124 0.257
Cd 0.125 0.375 0.500
Cd 0.625 0.375 0.000
Cd 0.876 0.626 0.257
Cd 0.625 0.875 0.500
Cd 0.374 0.626 0.257
Cd 0.625 0.875 0.000
Cd 0.374 0.124 0.743
Ag 0.625 0.375 0.500
Cd 0.876 0.124 0.257
Cd 0.374 0.626 0.743
```

# 2
Li3Cd5Ag2: relaxed, GGA-PBE. Values from VASP.

Results
total energy: -1.723 eV/atom
calculated volume: 412.9 Å³ per cell
crystal system: monoclinic
symmetry: C2/c, No. 15
ΔE_f: -121 meV/atom

Geometry as Quantum ESPRESSO input:
```
&SYSTEM
  ibrav = 0, nat = 20, ntyp = 3
/
ATOMIC_SPECIES
Cd 112.41 Cd.upf
Li 6.94 Li.upf
Ag 107.87 Ag.upf
CELL_PARAMETERS angstrom
-3.210 2.528 8.447
-0.374 -6.041 5.403
7.357 2.977 -5.175
ATOMIC_POSITIONS crystal
Cd 0.730 0.480 0.961
Cd 0.677 0.911 0.245
Li 0.089 0.720 0.277
Cd 0.030 0.780 0.559
Li 0.911 0.280 0.723
Li 0.255 0.005 0.010
Cd 0.323 0.089 0.755
Li 0.688 0.557 0.277
Li 0.745 0.995 0.990
Li 0.312 0.443 0.723
Ag 0.565 0.297 0.260
Ag 0.805 0.037 0.740
Ag 0.195 0.963 0.260
Cd 0.512 0.762 0.523
Cd 0.970 0.220 0.441
Ag 0.435 0.703 0.740
Cd 0.488 0.238 0.477
Cd 0.270 0.520 0.039
Cd 0.932 0.666 0.755
Cd 0.068 0.334 0.245
```

# 3
Li2Cd2Ag: relaxed, GGA-PBE. Values from VASP.

Results
total energy: -1.850 eV/atom
calculated volume: 199.9 Å³ per cell
crystal system: orthorhombic
symmetry: Ibam, No. 72
offset from the most stable computed form: 1.73 kcal/mol of atoms
ΔE_f: -148 meV/atom

Geometry as Quantum ESPRESSO input:
```
&SYSTEM
  ibrav = 0, nat = 10, ntyp = 3
/
ATOMIC_SPECIES
Cd 112.41 Cd.upf
Li 6.94 Li.upf
Ag 107.87 Ag.upf
CELL_PARAMETERS angstrom
5.404 0.000 0.000
0.000 5.506 0.000
-2.702 -2.753 6.719
ATOMIC_POSITIONS crystal
Cd 0.392 0.013 0.785
Li 0.182 0.824 0.364
Cd 0.108 0.228 0.215
Li 0.682 0.540 0.364
Li 0.818 0.176 0.636
Cd 0.608 0.987 0.215
Ag 0.750 0.500 0.000
Li 0.318 0.460 0.636
Ag 0.250 0.500 0.000
Cd 0.892 0.772 0.785
```

# 4
Li4Cd4Ag: relaxed, GGA-PBE. Values from VASP.

Results
total energy: -1.791 eV/atom
calculated volume: 166.8 Å³ per cell
crystal system: tetragonal
symmetry: I4/mmm, No. 139
ΔE_f: -217 meV/atom

Geometry as Quantum ESPRESSO input:
```
&SYSTEM
  ibrav = 0, nat = 9, ntyp = 3
/
ATOMIC_SPECIES
Li 6.94 Li.upf
Ag 107.87 Ag.upf
Cd 112.41 Cd.upf
CELL_PARAMETERS angstrom
-3.647 -0.780 -1.194
0.542 -3.168 -6.008
-1.593 -6.151 2.461
ATOMIC_POSITIONS crystal
Li 0.663 0.000 0.673
Li 0.663 0.673 0.000
Li 0.337 0.000 0.327
Ag 0.000 0.000 0.000
Cd 0.000 0.320 0.680
Cd 0.320 0.680 0.680
Cd 0.680 0.320 0.320
Li 0.337 0.327 0.000
Cd 0.000 0.680 0.320
```

# 5
Li4CdAg: relaxed, GGA-PBE. Values from VASP.

Results
total energy: -1.954 eV/atom
calculated volume: 99.7 Å³ per cell
crystal system: cubic
symmetry: F-43m, No. 216
offset from the most stable computed form: 3.13 kcal/mol of atoms
ΔE_f: -50 meV/atom

Geometry as Quantum ESPRESSO input:
```
&SYSTEM
  ibrav = 0, nat = 6, ntyp = 3
/
ATOMIC_SPECIES
Cd 112.41 Cd.upf
Ag 107.87 Ag.upf
Li 6.94 Li.upf
CELL_PARAMETERS angstrom
0.000 3.680 3.680
3.680 0.000 3.680
3.680 3.680 0.000
ATOMIC_POSITIONS crystal
Cd 0.000 0.000 0.000
Ag 0.750 0.750 0.750
Li 0.375 0.874 0.375
Li 0.375 0.375 0.375
Li 0.375 0.375 0.874
Li 0.874 0.375 0.375
```

# 6
LiCd3Ag12: relaxed, GGA-PBE. Values from VASP.

Results
total energy: -2.481 eV/atom
calculated volume: 290.7 Å³ per cell
crystal system: tetragonal
symmetry: P4/mmm, No. 123
ΔE_f: -51 meV/atom

Geometry as Quantum ESPRESSO input:
```
&SYSTEM
  ibrav = 0, nat = 16, ntyp = 3
/
ATOMIC_SPECIES
Ag 107.87 Ag.upf
Cd 112.41 Cd.upf
Li 6.94 Li.upf
CELL_PARAMETERS angstrom
4.196 0.000 0.000
0.000 4.196 0.000
0.000 0.000 16.513
ATOMIC_POSITIONS crystal
Ag 0.500 0.000 0.119
Ag 0.500 0.500 0.246
Cd 0.000 0.000 0.500
Cd 0.000 0.000 0.754
Ag 0.500 0.500 0.754
Ag 0.500 0.000 0.881
Ag 0.000 0.500 0.119
Ag 0.000 0.500 0.627
Ag 0.000 0.500 0.373
Ag 0.500 0.500 0.000
Ag 0.500 0.000 0.373
Cd 0.000 0.000 0.246
Li 0.000 0.000 0.000
Ag 0.000 0.500 0.881
Ag 0.500 0.500 0.500
Ag 0.500 0.000 0.627
```

# 7
Li8Cd5Ag: relaxed, GGA-PBE. Values from VASP.

Results
total energy: -1.766 eV/atom
calculated volume: 270.3 Å³ per cell
crystal system: tetragonal
symmetry: I-4, No. 82
ΔE_f: -142 meV/atom

Geometry as Quantum ESPRESSO input:
```
&SYSTEM
  ibrav = 0, nat = 14, ntyp = 3
/
ATOMIC_SPECIES
Cd 112.41 Cd.upf
Li 6.94 Li.upf
Ag 107.87 Ag.upf
CELL_PARAMETERS angstrom
7.355 0.000 3.895
3.677 5.699 1.948
1.010 0.000 6.984
ATOMIC_POSITIONS crystal
Cd 0.279 0.600 0.168
Li 0.175 0.235 0.415
Cd 0.553 0.168 0.400
Cd 0.500 0.000 0.000
Li 0.902 0.756 0.108
Li 0.409 0.415 0.765
Cd 0.048 0.400 0.832
Li 0.342 0.892 0.756
Li 0.766 0.244 0.892
Cd 0.120 0.832 0.600
Ag 0.750 0.500 0.500
Li 0.590 0.585 0.235
Li 0.990 0.108 0.244
Li 0.826 0.765 0.585
```

# 8
Li2Cd5Ag2: relaxed, GGA-PBE. Values from VASP.

Results
total energy: -1.713 eV/atom
calculated volume: 351.6 Å³ per cell
crystal system: orthorhombic
symmetry: Amm2, No. 38
offset from the most stable computed form: 0.00 kcal/mol of atoms
ΔE_f: -146 meV/atom

Geometry as Quantum ESPRESSO input:
```
&SYSTEM
  ibrav = 0, nat = 18, ntyp = 3
/
ATOMIC_SPECIES
Ag 107.87 Ag.upf
Cd 112.41 Cd.upf
Li 6.94 Li.upf
CELL_PARAMETERS angstrom
4.804 0.000 0.000
0.000 8.375 0.000
-2.402 -4.187 8.740
ATOMIC_POSITIONS crystal
Ag 0.583 0.118 0.167
Cd 0.835 0.706 0.670
Ag 0.916 0.452 0.833
Cd 0.665 0.536 0.330
Ag 0.417 0.952 0.833
Cd 0.584 0.787 0.167
Ag 0.084 0.618 0.167
Li 0.250 0.456 0.500
Cd 0.917 0.120 0.833
Cd 0.416 0.620 0.833
Cd 0.750 0.289 0.500
Li 0.750 0.956 0.500
Cd 0.083 0.287 0.167
Li 0.500 0.372 0.000
Cd 0.335 0.206 0.670
Cd 0.250 0.789 0.500
Cd 0.165 0.036 0.330
Li 0.000 0.872 0.000
```

# 9
Li3Cd4Ag: relaxed, GGA-PBE. Values from VASP.

Results
total energy: -1.756 eV/atom
calculated volume: 295.8 Å³ per cell
crystal system: orthorhombic
symmetry: Pmma, No. 51
ΔE_f: -225 meV/atom

Geometry as Quantum ESPRESSO input:
```
&SYSTEM
  ibrav = 0, nat = 16, ntyp = 3
/
ATOMIC_SPECIES
Cd 112.41 Cd.upf
Li 6.94 Li.upf
Ag 107.87 Ag.upf
CELL_PARAMETERS angstrom
4.675 0.000 0.000
0.000 6.768 0.000
0.000 0.000 9.348
ATOMIC_POSITIONS crystal
Cd 0.500 0.242 0.000
Li 0.000 0.000 0.500
Li 0.503 0.000 0.750
Li 0.503 0.500 0.750
Ag 0.000 0.500 0.000
Ag 0.000 0.500 0.500
Li 0.000 0.000 0.000
Cd 0.003 0.759 0.750
Cd 0.500 0.758 0.000
Li 0.497 0.000 0.250
Cd 0.003 0.241 0.750
Li 0.497 0.500 0.250
Cd 0.500 0.242 0.500
Cd 0.997 0.759 0.250
Cd 0.997 0.241 0.250
Cd 0.500 0.758 0.500
```

# 10
Li2Cd5Ag2: relaxed, GGA-PBE. Values from VASP.

Results
total energy: -1.696 eV/atom
calculated volume: 184.6 Å³ per cell
crystal system: monoclinic
symmetry: C2/m, No. 12
offset from the most stable computed form: 0.40 kcal/mol of atoms
ΔE_f: -129 meV/atom

Geometry as Quantum ESPRESSO input:
```
&SYSTEM
  ibrav = 0, nat = 9, ntyp = 3
/
ATOMIC_SPECIES
Cd 112.41 Cd.upf
Li 6.94 Li.upf
Ag 107.87 Ag.upf
CELL_PARAMETERS angstrom
-1.297 -4.544 0.415
-0.146 2.139 -4.141
9.696 -2.669 1.087
ATOMIC_POSITIONS crystal
Cd 0.197 0.393 0.581
Li 0.407 0.814 0.224
Cd 0.803 0.607 0.419
Li 0.593 0.186 0.776
Cd 0.297 0.594 0.886
Ag 0.905 0.810 0.710
Ag 0.095 0.190 0.290
Cd 0.000 0.000 0.000
Cd 0.703 0.406 0.114
```

# 11
Li4Cd2Ag3: relaxed, GGA-PBE. Values from VASP.

Results
total energy: -2.196 eV/atom
calculated volume: 158.1 Å³ per cell
crystal system: monoclinic
symmetry: C2/m, No. 12
offset from the most stable computed form: 0.59 kcal/mol of atoms
ΔE_f: -192 meV/atom

Geometry as Quantum ESPRESSO input:
```
&SYSTEM
  ibrav = 0, nat = 9, ntyp = 3
/
ATOMIC_SPECIES
Li 6.94 Li.upf
Cd 112.41 Cd.upf
Ag 107.87 Ag.upf
CELL_PARAMETERS angstrom
4.283 0.000 0.000
0.000 6.003 0.205
-2.142 -2.615 6.057
ATOMIC_POSITIONS crystal
Li 0.225 0.339 0.450
Cd 0.664 0.012 0.327
Ag 0.889 0.347 0.777
Li 0.547 0.330 0.095
Ag 0.111 0.653 0.223
Li 0.453 0.670 0.905
Cd 0.336 0.988 0.673
Ag 0.000 0.000 0.000
Li 0.775 0.661 0.550
```

# 12
Li3CdAg3: relaxed, GGA-PBE. Values from VASP.

Results
total energy: -2.317 eV/atom
calculated volume: 253.0 Å³ per cell
crystal system: orthorhombic
symmetry: Cmmm, No. 65
offset from the most stable computed form: 0.00 kcal/mol of atoms
ΔE_f: -144 meV/atom

Geometry as Quantum ESPRESSO input:
```
&SYSTEM
  ibrav = 0, nat = 14, ntyp = 3
/
ATOMIC_SPECIES
Li 6.94 Li.upf
Cd 112.41 Cd.upf
Ag 107.87 Ag.upf
CELL_PARAMETERS angstrom
4.659 -4.335 0.000
4.659 4.335 0.000
0.000 0.000 6.262
ATOMIC_POSITIONS crystal
Li 0.757 0.757 0.000
Li 0.253 0.253 0.500
Cd 0.301 0.699 0.000
Ag 0.000 0.500 0.738
Ag 0.500 0.000 0.738
Ag 0.000 0.500 0.262
Li 0.730 0.270 0.500
Li 0.270 0.730 0.500
Cd 0.699 0.301 0.000
Ag 0.000 0.000 0.257
Li 0.243 0.243 0.000
Ag 0.500 0.000 0.262
Ag 0.000 0.000 0.743
Li 0.747 0.747 0.500
```

# 13
LiCdAg6: relaxed, GGA-PBE. Values from VASP.

Results
total energy: -2.574 eV/atom
calculated volume: 142.9 Å³ per cell
crystal system: monoclinic
symmetry: C2/m, No. 12
offset from the most stable computed form: 0.00 kcal/mol of atoms
ΔE_f: -82 meV/atom

Geometry as Quantum ESPRESSO input:
```
&SYSTEM
  ibrav = 0, nat = 8, ntyp = 3
/
ATOMIC_SPECIES
Ag 107.87 Ag.upf
Li 6.94 Li.upf
Cd 112.41 Cd.upf
CELL_PARAMETERS angstrom
3.959 0.000 1.081
1.800 4.614 1.200
-0.008 0.026 7.824
ATOMIC_POSITIONS crystal
Ag 0.501 0.257 0.741
Ag 0.251 0.876 0.621
Ag 0.247 0.376 0.130
Li 0.000 0.500 0.500
Cd 0.000 0.000 0.000
Ag 0.499 0.743 0.259
Ag 0.749 0.124 0.379
Ag 0.753 0.624 0.870
```

# 14
Li6CdAg12: relaxed, GGA-PBE. Values from VASP.

Results
total energy: -2.538 eV/atom
calculated volume: 350.1 Å³ per cell
crystal system: trigonal
symmetry: R-3, No. 148
offset from the most stable computed form: 0.06 kcal/mol of atoms
ΔE_f: -85 meV/atom

Geometry as Quantum ESPRESSO input:
```
&SYSTEM
  ibrav = 0, nat = 19, ntyp = 3
/
ATOMIC_SPECIES
Ag 107.87 Ag.upf
Cd 112.41 Cd.upf
Li 6.94 Li.upf
CELL_PARAMETERS angstrom
7.446 -0.598 -0.717
-1.720 7.269 -0.717
-1.720 -2.004 7.024
ATOMIC_POSITIONS crystal
Ag 0.830 0.120 0.276
Cd 0.000 0.000 0.000
Ag 0.812 0.512 0.405
Ag 0.595 0.188 0.488
Ag 0.880 0.724 0.170
Ag 0.488 0.595 0.188
Ag 0.120 0.276 0.830
Li 0.088 0.458 0.203
Li 0.458 0.203 0.088
Li 0.912 0.542 0.797
Ag 0.512 0.405 0.812
Ag 0.170 0.880 0.724
Li 0.797 0.912 0.542
Ag 0.188 0.488 0.595
Ag 0.405 0.812 0.512
Li 0.542 0.797 0.912
Ag 0.276 0.830 0.120
Ag 0.724 0.170 0.880
Li 0.203 0.088 0.458
```

# 15
Li3CdAg4: relaxed, GGA-PBE. Values from VASP.

Results
total energy: -2.451 eV/atom
calculated volume: 274.9 Å³ per cell
crystal system: orthorhombic
symmetry: Pmma, No. 51
offset from the most stable computed form: 0.00 kcal/mol of atoms
ΔE_f: -193 meV/atom

Geometry as Quantum ESPRESSO input:
```
&SYSTEM
  ibrav = 0, nat = 16, ntyp = 3
/
ATOMIC_SPECIES
Ag 107.87 Ag.upf
Li 6.94 Li.upf
Cd 112.41 Cd.upf
CELL_PARAMETERS angstrom
-2.208 1.661 3.964
-5.185 -2.540 -1.823
2.262 -7.894 4.566
ATOMIC_POSITIONS crystal
Ag 0.500 0.760 0.500
Ag 0.880 0.240 0.250
Ag 0.500 0.240 0.500
Ag 0.120 0.760 0.750
Ag 0.880 0.760 0.250
Ag 0.120 0.240 0.750
Li 0.386 0.000 0.250
Li 0.000 0.000 0.500
Li 0.389 0.500 0.250
Ag 0.500 0.240 0.000
Cd 0.000 0.500 0.500
Li 0.614 0.000 0.750
Cd 0.000 0.500 0.000
Ag 0.500 0.760 0.000
Li 0.000 0.000 0.000
Li 0.611 0.500 0.750
```

# 16
LiCd2Ag9: relaxed, GGA-PBE. Values from VASP.

Results
total energy: -2.516 eV/atom
calculated volume: 216.8 Å³ per cell
crystal system: tetragonal
symmetry: P4/mmm, No. 123
ΔE_f: -66 meV/atom

Geometry as Quantum ESPRESSO input:
```
&SYSTEM
  ibrav = 0, nat = 12, ntyp = 3
/
ATOMIC_SPECIES
Ag 107.87 Ag.upf
Cd 112.41 Cd.upf
Li 6.94 Li.upf
CELL_PARAMETERS angstrom
4.191 0.000 0.000
0.000 4.191 0.000
0.000 0.000 12.343
ATOMIC_POSITIONS crystal
Ag 0.000 0.500 0.500
Ag 0.000 0.500 0.159
Ag 0.500 0.500 0.000
Ag 0.500 0.000 0.159
Cd 0.000 0.000 0.330
Li 0.000 0.000 0.000
Ag 0.500 0.500 0.330
Ag 0.500 0.000 0.841
Ag 0.500 0.000 0.500
Ag 0.000 0.500 0.841
Ag 0.500 0.500 0.670
Cd 0.000 0.000 0.670
```

# 17
Li5Cd2Ag3: relaxed, GGA-PBE. Values from VASP.

Results
total energy: -2.185 eV/atom
calculated volume: 349.0 Å³ per cell
crystal system: monoclinic
symmetry: C2/c, No. 15
offset from the most stable computed form: 0.00 kcal/mol of atoms
ΔE_f: -189 meV/atom

Geometry as Quantum ESPRESSO input:
```
&SYSTEM
  ibrav = 0, nat = 20, ntyp = 3
/
ATOMIC_SPECIES
Li 6.94 Li.upf
Cd 112.41 Cd.upf
Ag 107.87 Ag.upf
CELL_PARAMETERS angstrom
-1.886 3.990 3.360
-7.228 -3.645 -0.149
4.132 -3.480 6.030
ATOMIC_POSITIONS crystal
Li 0.606 0.273 0.969
Cd 0.629 0.873 0.382
Ag 0.376 0.516 0.229
Li 0.894 0.031 0.727
Li 0.750 0.543 0.457
Ag 0.624 0.484 0.771
Ag 0.250 0.036 0.964
Li 0.997 0.714 0.806
Cd 0.129 0.382 0.873
Li 0.003 0.286 0.194
Li 0.394 0.727 0.031
Cd 0.371 0.127 0.618
Ag 0.750 0.964 0.036
Cd 0.871 0.618 0.127
Li 0.503 0.194 0.286
Ag 0.876 0.229 0.516
Ag 0.124 0.771 0.484
Li 0.250 0.457 0.543
Li 0.497 0.806 0.714
Li 0.106 0.969 0.273
```

# 18
Li3Cd8Ag2: relaxed, GGA-PBE. Values from VASP.

Results
total energy: -1.529 eV/atom
calculated volume: 277.5 Å³ per cell
crystal system: monoclinic
symmetry: C2/m, No. 12
ΔE_f: -85 meV/atom

Geometry as Quantum ESPRESSO input:
```
&SYSTEM
  ibrav = 0, nat = 13, ntyp = 3
/
ATOMIC_SPECIES
Li 6.94 Li.upf
Cd 112.41 Cd.upf
Ag 107.87 Ag.upf
CELL_PARAMETERS angstrom
5.592 0.000 0.600
0.000 8.138 0.000
-1.569 -4.069 5.930
ATOMIC_POSITIONS crystal
Li 0.000 0.167 0.000
Cd 0.204 0.806 0.612
Cd 0.883 0.594 0.188
Cd 0.568 0.192 0.764
Cd 0.568 0.572 0.764
Cd 0.432 0.428 0.236
Cd 0.432 0.808 0.236
Li 0.000 0.833 0.000
Li 0.500 0.000 0.000
Ag 0.286 0.192 0.385
Cd 0.117 0.406 0.812
Cd 0.796 0.194 0.388
Ag 0.714 0.808 0.615
```

# 19
Li3Cd6Ag2: relaxed, GGA-PBE. Values from VASP.

Results
total energy: -1.685 eV/atom
calculated volume: 219.9 Å³ per cell
crystal system: triclinic
symmetry: P-1, No. 2
offset from the most stable computed form: 0.00 kcal/mol of atoms
ΔE_f: -146 meV/atom

Geometry as Quantum ESPRESSO input:
```
&SYSTEM
  ibrav = 0, nat = 11, ntyp = 3
/
ATOMIC_SPECIES
Cd 112.41 Cd.upf
Li 6.94 Li.upf
Ag 107.87 Ag.upf
CELL_PARAMETERS angstrom
4.921 -1.684 1.005
-1.553 6.720 2.645
1.636 6.007 10.697
ATOMIC_POSITIONS crystal
Cd 0.383 0.846 0.773
Cd 0.233 0.662 0.256
Li 0.000 0.000 0.000
Cd 0.767 0.338 0.744
Ag 0.622 0.478 0.898
Cd 0.612 0.792 0.564
Li 0.892 0.814 0.326
Ag 0.378 0.522 0.102
Cd 0.617 0.154 0.227
Cd 0.388 0.208 0.436
Li 0.108 0.186 0.674
```